Li2Rh | GGA-PBE | optimized geometry

Values from the calculation:
- total moment (μB/atom) = 0.000
- electronic total energy (Ha/atom) = -0.1394

Cell: 2.6538 2.6538 25.9969 Å, 90.00 90.00 90.00°
With the nearest neighbours (Å) after each atom.
Fractional coordinates of all 12 atoms:
Li: 0.0000 0.2500 0.3027  4 Li 2.65, 4 Rh 2.66
Li: 0.0000 0.2500 0.4473  4 Li 2.65, 4 Rh 2.66
Li: 0.0000 0.7500 0.5527  4 Li 2.65, 4 Rh 2.66
Li: 0.0000 0.7500 0.6973  4 Li 2.65, 4 Rh 2.66
Li: 0.5000 0.2500 0.0527  4 Li 2.65, 4 Rh 2.66
Li: 0.5000 0.2500 0.1973  4 Li 2.65, 4 Rh 2.66
Li: 0.5000 0.7500 0.8027  4 Li 2.65, 4 Rh 2.66
Li: 0.5000 0.7500 0.9473  4 Li 2.65, 4 Rh 2.66
Rh: 0.0000 0.2500 0.8750  4 Rh 2.65, 8 Li 2.66
Rh: 0.0000 0.7500 0.1250  4 Rh 2.65, 8 Li 2.66
Rh: 0.5000 0.2500 0.6250  4 Rh 2.65, 8 Li 2.66
Rh: 0.5000 0.7500 0.3750  4 Rh 2.65, 8 Li 2.66